(1)
A relaxed structure of Sm3OsC2, computed with GGA-PBE.

abc: 6.0291 6.0291 6.5003
angles: 90.00 90.00 78.21
Closest atoms and distances in Å follow each position.
Fractional coordinates of all 12 atoms:
Sm 0.2193 0.2193 0.0000  3 C 2.63-2.70
Sm 0.2193 0.2193 0.5000  3 C 2.63-2.70
Sm 0.2502 0.7498 0.7500  3 C 2.50-2.54
Sm 0.7498 0.2502 0.2500  3 C 2.50-2.54
Sm 0.7807 0.7807 0.0000  3 C 2.63-2.70
Sm 0.7807 0.7807 0.5000  3 C 2.63-2.70
Os 0.3430 0.6570 0.2500  3 C 1.97-2.02
Os 0.6570 0.3430 0.7500  3 C 1.97-2.02
C 0.0843 0.9157 0.2500  1 Os 1.97
C 0.5000 0.5000 0.0000  2 Os 2.02
C 0.5000 0.5000 0.5000  2 Os 2.02
C 0.9157 0.0843 0.7500  1 Os 1.97

Its density of states at the Fermi level is 0.5743 states/eV per atom. The calculation puts the spin magnetization at 0.000 μB/atom. For the density, the calculation gives 9.6 g/cm3. Its formation energy is -0.13 eV/f.u.

(2)
A relaxed structure of MnCr2Pt, computed with GGA-PBE.

abc: 3.0573 3.0573 5.8855
angles: 90.00 90.00 90.00
Closest atoms and distances in Å follow each position.
Fractional coordinates of all 4 atoms:
Mn 0.0000 0.0000 0.0000  5 Cr 2.58-2.73, 4 Pt 2.65
Cr 0.0000 0.0000 0.5361  4 Cr 2.53, 4 Pt 2.70, 1 Mn 2.73
Cr 0.5000 0.5000 0.7604  4 Cr 2.53, 4 Mn 2.58
Pt 0.5000 0.5000 0.2599  4 Mn 2.65, 6 Cr 2.70-2.95

Its density of states at the Fermi level is 0.7650 states/eV per atom. The calculation puts the spin magnetization at 1.148 μB/atom. For the density, the calculation gives 10.7 g/cm3. Its formation energy is -0.24 eV/f.u.

(3)
A relaxed structure of ReMo2Ru, computed with GGA-PBE.

abc: 4.4223 4.4223 4.4223
angles: 60.00 60.00 60.00
Closest atoms and distances in Å follow each position.
Fractional coordinates of all 4 atoms:
Re 0.0000 0.0000 0.0000  8 Mo 2.71
Mo 0.2500 0.2500 0.2500  4 Re 2.71, 4 Ru 2.71
Mo 0.7500 0.7500 0.7500  4 Re 2.71, 4 Ru 2.71
Ru 0.5000 0.5000 0.5000  8 Mo 2.71

Its energy above the most stable polymorph in this dataset is 2.39 kcal/mol of atoms. Its density of states at the Fermi level is 2.1692 states/eV per atom. The calculation puts the spin magnetization at 0.000 μB/atom. For the density, the calculation gives 13.0 g/cm3. Its formation energy is 0.86 eV/f.u.

(4)
A relaxed structure of Li4Tm3USe8, computed with GGA-PBE.

abc: 7.9988 7.9988 7.9988
angles: 60.57 60.57 60.57
Closest atoms and distances in Å follow each position.
Fractional coordinates of all 16 atoms:
Li 0.0000 0.0000 0.0000  6 Se 2.80
Li 0.0000 0.5000 0.5000  6 Se 2.84
Li 0.5000 0.0000 0.5000  6 Se 2.84
Li 0.5000 0.5000 0.0000  6 Se 2.84
Tm 0.0000 0.0000 0.5000  6 Se 2.84
Tm 0.0000 0.5000 0.0000  6 Se 2.84
Tm 0.5000 0.0000 0.0000  6 Se 2.84
U 0.5000 0.5000 0.5000  6 Se 2.88
Se 0.2463 0.2463 0.7536  3 Li 2.80-2.84, 2 Tm 2.84, 1 U 2.88
Se 0.2463 0.7536 0.2463  3 Li 2.80-2.84, 2 Tm 2.84, 1 U 2.88
Se 0.2464 0.7537 0.7537  3 Li 2.80-2.84, 2 Tm 2.84, 1 U 2.88
Se 0.2501 0.2501 0.2501  3 Li 2.84, 3 Tm 2.84
Se 0.7499 0.7499 0.7499  3 Li 2.84, 3 Tm 2.84
Se 0.7536 0.2463 0.2463  3 Li 2.80-2.84, 2 Tm 2.84, 1 U 2.88
Se 0.7537 0.2464 0.7537  3 Li 2.80-2.84, 2 Tm 2.84, 1 U 2.88
Se 0.7537 0.7537 0.2464  3 Li 2.80-2.84, 2 Tm 2.84, 1 U 2.88

Its density of states at the Fermi level is 0.5115 states/eV per atom. The uncorrected formation energy is -1.546 eV per atom. The calculation puts the spin magnetization at 0.186 μB/atom. For the density, the calculation gives 6.4 g/cm3.